Below is a relaxed Tl12CdPb6 crystal, with properties calculated at the PBE level.

Cell: 9.0941 9.0941 9.0941 Å, 107.60 107.60 107.60°
Closest atoms and distances in Å follow each position.
Sites, in units of the cell vectors:
Tl  0.0724  0.2736  0.8202  3 Tl 3.22-3.51, 2 Pb 3.35-3.40, 1 Cd 3.38
Tl  0.1798  0.9276  0.7264  3 Tl 3.22-3.51, 2 Pb 3.35-3.40, 1 Cd 3.38
Tl  0.1818  0.5127  0.6368  2 Tl 3.22-3.37, 2 Pb 3.32-3.38
Tl  0.2736  0.8202  0.0724  3 Tl 3.22-3.51, 2 Pb 3.35-3.40, 1 Cd 3.38
Tl  0.3632  0.8182  0.4873  2 Tl 3.22-3.37, 2 Pb 3.32-3.38
Tl  0.4873  0.3632  0.8182  2 Tl 3.22-3.37, 2 Pb 3.32-3.38
Tl  0.5127  0.6368  0.1818  2 Tl 3.22-3.37, 2 Pb 3.32-3.38
Tl  0.6368  0.1818  0.5127  2 Tl 3.22-3.37, 2 Pb 3.32-3.38
Tl  0.7264  0.1798  0.9276  3 Tl 3.22-3.51, 2 Pb 3.35-3.40, 1 Cd 3.38
Tl  0.8182  0.4873  0.3632  2 Tl 3.22-3.37, 2 Pb 3.32-3.38
Tl  0.8202  0.0724  0.2736  3 Tl 3.22-3.51, 2 Pb 3.35-3.40, 1 Cd 3.38
Tl  0.9276  0.7264  0.1798  3 Tl 3.22-3.51, 2 Pb 3.35-3.40, 1 Cd 3.38
Cd  0.0000  0.0000  0.0000  6 Pb 3.22, 6 Tl 3.38
Pb  0.1398  0.4026  0.2311  1 Cd 3.22, 4 Tl 3.32-3.40, 2 Pb 3.39
Pb  0.2311  0.1398  0.4026  1 Cd 3.22, 4 Tl 3.32-3.40, 2 Pb 3.39
Pb  0.4026  0.2311  0.1398  1 Cd 3.22, 4 Tl 3.32-3.40, 2 Pb 3.39
Pb  0.5974  0.7689  0.8602  1 Cd 3.22, 4 Tl 3.32-3.40, 2 Pb 3.39
Pb  0.7689  0.8602  0.5974  1 Cd 3.22, 4 Tl 3.32-3.40, 2 Pb 3.39
Pb  0.8602  0.5974  0.7689  1 Cd 3.22, 4 Tl 3.32-3.40, 2 Pb 3.39

Calculated values
Formation enthalpy at 0 K, meV per atom: 41
Energy relative to the lowest polymorph listed for this composition, eV per formula unit: 0.29
ρ, g cm⁻³: 10.27
SG: R-3